First-principles (PBE) data for a relaxed structure of LiZnNiHg, as listed in OQMD via LeMat-Bulk.

Output
- Magnetic moment: 0.0 Bohr magnetons per cell
- Crystal system: cubic
- V: 57.93 Å³/cell
- Excess energy over the best structure of this formula in the dataset: 0 meV per atom

Lattice parameters (Å, degrees): 4.3430 4.3430 4.3430 60.00 60.00 60.00
Last column: nearest neighbours and their distance in Å.
Sites, in units of the cell vectors:
Li 0.0000 0.0000 0.0000  4 Hg 2.66, 4 Zn 2.66
Zn 0.2500 0.2500 0.2500  4 Ni 2.66, 4 Li 2.66
Ni 0.5000 0.5000 0.5000  4 Hg 2.66, 4 Zn 2.66
Hg 0.7500 0.7500 0.7500  4 Ni 2.66, 4 Li 2.66

First-principles (PBE) data for a relaxed structure of Sm3Sb4Se9, as listed in OQMD via LeMat-Bulk.

Output
- E: -4.76 eV per atom
- Magnetic moment: 0.0 Bohr magnetons per cell
- Crystal system: orthorhombic
- V: 1675.38 Å³/cell

Lattice parameters (Å, degrees): 16.6283 4.0264 25.0237 90.00 90.00 90.00
Last column: nearest neighbours and their distance in Å.
Sites, in units of the cell vectors:
Sm 0.0398 0.2500 0.2314  8 Se 2.96-3.29
Sm 0.1228 0.2500 0.0574  8 Se 3.03-3.16
Sm 0.1797 0.7500 0.6828  8 Se 2.99-3.27
Sm 0.3203 0.2500 0.1828  8 Se 2.99-3.27
Sm 0.3772 0.7500 0.5574  8 Se 3.03-3.16
Sm 0.4602 0.7500 0.7314  8 Se 2.96-3.29
Sm 0.5398 0.2500 0.2686  8 Se 2.96-3.29
Sm 0.6228 0.2500 0.4426  8 Se 3.03-3.16
Sm 0.6797 0.7500 0.8172  8 Se 2.99-3.27
Sm 0.8203 0.2500 0.3172  8 Se 2.99-3.27
Sm 0.8772 0.7500 0.9426  8 Se 3.03-3.16
Sm 0.9602 0.7500 0.7686  8 Se 2.96-3.29
Sb 0.0360 0.7500 0.4230  2 Se 2.76
Sb 0.1104 0.2500 0.8926  5 Se 2.71-2.92
Sb 0.1444 0.2500 0.5055  5 Se 2.77-3.04
Sb 0.2220 0.7500 0.3315  3 Se 2.64-2.71
Sb 0.2780 0.2500 0.8315  3 Se 2.64-2.71
Sb 0.3556 0.7500 0.0055  5 Se 2.77-3.04
Sb 0.3896 0.7500 0.3926  5 Se 2.71-2.92
Sb 0.4640 0.2500 0.9230  2 Se 2.76
Sb 0.5360 0.7500 0.0770  2 Se 2.76
Sb 0.6104 0.2500 0.6074  5 Se 2.71-2.92
Sb 0.6444 0.2500 0.9945  5 Se 2.77-3.04
Sb 0.7220 0.7500 0.1685  3 Se 2.64-2.71
Sb 0.7780 0.2500 0.6685  3 Se 2.64-2.71
Sb 0.8556 0.7500 0.4945  5 Se 2.77-3.04
Sb 0.8896 0.7500 0.1074  5 Se 2.71-2.92
Sb 0.9640 0.2500 0.5770  2 Se 2.76
Se 0.0470 0.7500 0.1359  1 Sb 2.71
Se 0.0514 0.2500 0.7068  4 Sm 2.96-2.99
Se 0.0621 0.7500 0.9688  2 Sb 2.89, 3 Sm 3.14-3.16
Se 0.0770 0.7500 0.5815  4 Sb 2.76-2.99, 1 Sm 3.06
Se 0.1147 0.2500 0.3439  2 Sb 2.71
Se 0.1313 0.7500 0.8095  4 Sb 2.92-3.21, 1 Sm 3.02
Se 0.1961 0.7500 0.2274  1 Sb 2.64
Se 0.2440 0.7500 0.1014  1 Sb 3.04, 4 Sm 3.05-3.13, 2 Se 3.25-3.39
Se 0.2475 0.7500 0.4725  3 Sb 2.77-3.09, 1 Sm 3.03
Se 0.2525 0.2500 0.9725  3 Sb 2.77-3.09, 1 Sm 3.03
Se 0.2560 0.2500 0.6014  1 Sb 3.04, 4 Sm 3.05-3.13, 2 Se 3.25-3.39
Se 0.3039 0.2500 0.7274  1 Sb 2.64
Se 0.3687 0.2500 0.3095  4 Sb 2.92-3.21, 1 Sm 3.02
Se 0.3853 0.7500 0.8439  2 Sb 2.71
Se 0.4230 0.2500 0.0815  4 Sb 2.76-2.99, 1 Sm 3.06
Se 0.4379 0.2500 0.4688  2 Sb 2.89, 3 Sm 3.14-3.16
Se 0.4486 0.7500 0.2068  4 Sm 2.96-2.99
Se 0.4530 0.2500 0.6359  1 Sb 2.71
Se 0.5470 0.7500 0.3641  1 Sb 2.71
Se 0.5514 0.2500 0.7932  4 Sm 2.96-2.99
Se 0.5621 0.7500 0.5312  2 Sb 2.89, 3 Sm 3.14-3.16
Se 0.5770 0.7500 0.9185  4 Sb 2.76-2.99, 1 Sm 3.06
Se 0.6147 0.2500 0.1561  2 Sb 2.71
Se 0.6313 0.7500 0.6905  4 Sb 2.92-3.21, 1 Sm 3.02
Se 0.6961 0.7500 0.2726  1 Sb 2.64
Se 0.7440 0.7500 0.3986  1 Sb 3.04, 4 Sm 3.05-3.13, 2 Se 3.25-3.39
Se 0.7475 0.7500 0.0275  3 Sb 2.77-3.09, 1 Sm 3.03
Se 0.7525 0.2500 0.5275  3 Sb 2.77-3.09, 1 Sm 3.03
Se 0.7560 0.2500 0.8986  1 Sb 3.04, 4 Sm 3.05-3.13, 2 Se 3.25-3.39
Se 0.8039 0.2500 0.7726  1 Sb 2.64
Se 0.8687 0.2500 0.1905  4 Sb 2.92-3.21, 1 Sm 3.02
Se 0.8853 0.7500 0.6561  2 Sb 2.71
Se 0.9230 0.2500 0.4185  4 Sb 2.76-2.99, 1 Sm 3.06
Se 0.9379 0.2500 0.0312  2 Sb 2.89, 3 Sm 3.14-3.16
Se 0.9486 0.7500 0.2932  4 Sm 2.96-2.99
Se 0.9530 0.2500 0.8641  1 Sb 2.71

First-principles (PBE) data for a relaxed structure of K2Ag3Sb3S7, as listed in OQMD via LeMat-Bulk.

Output
- E: -3.91 eV per atom
- Crystal system: orthorhombic
- V: 793.80 Å³/cell

Lattice parameters (Å, degrees): 13.4206 13.4206 6.8745 90.00 90.00 39.87
Last column: nearest neighbours and their distance in Å.
Sites, in units of the cell vectors:
K 0.0133 0.3989 0.0000  9 S 3.25-3.63, 1 Ag 3.47
K 0.3989 0.0133 0.5000  9 S 3.25-3.63, 1 Ag 3.47
K 0.6011 0.9867 0.0000  9 S 3.25-3.63, 1 Ag 3.47
K 0.9867 0.6011 0.5000  9 S 3.25-3.63, 1 Ag 3.47
Ag 0.0834 0.0976 0.4440  3 S 2.47-2.60
Ag 0.0976 0.0834 0.9440  3 S 2.47-2.60
Ag 0.1801 0.8199 0.1869  3 S 2.45-2.64
Ag 0.8199 0.1801 0.6869  3 S 2.45-2.64
Ag 0.9024 0.9166 0.4440  3 S 2.47-2.60
Ag 0.9166 0.9024 0.9440  3 S 2.47-2.60
Sb 0.2627 0.4818 0.0024  3 S 2.43-2.53
Sb 0.3422 0.6578 0.6437  3 S 2.46-2.47
Sb 0.4818 0.2627 0.5024  3 S 2.43-2.53
Sb 0.5182 0.7373 0.0024  3 S 2.43-2.53
Sb 0.6578 0.3422 0.1437  3 S 2.46-2.47
Sb 0.7373 0.5182 0.5024  3 S 2.43-2.53
S 0.0181 0.3241 0.5064  1 Sb 2.43, 1 Ag 2.47
S 0.1171 0.8829 0.8401  3 Ag 2.45-2.60, 1 Sb 2.46
S 0.1938 0.6576 0.4315  1 Sb 2.47, 2 Ag 2.55-2.64
S 0.3047 0.3183 0.7434  2 Sb 2.50-2.53
S 0.3183 0.3047 0.2434  2 Sb 2.50-2.53
S 0.3241 0.0181 0.0064  1 Sb 2.43, 1 Ag 2.47
S 0.3424 0.8062 0.4315  1 Sb 2.47, 2 Ag 2.55-2.64
S 0.6576 0.1938 0.9315  1 Sb 2.47, 2 Ag 2.55-2.64
S 0.6759 0.9819 0.5064  1 Sb 2.43, 1 Ag 2.47
S 0.6817 0.6953 0.7434  2 Sb 2.50-2.53
S 0.6953 0.6817 0.2434  2 Sb 2.50-2.53
S 0.8062 0.3424 0.9315  1 Sb 2.47, 2 Ag 2.55-2.64
S 0.8829 0.1171 0.3401  3 Ag 2.45-2.60, 1 Sb 2.46
S 0.9819 0.6759 0.0064  1 Sb 2.43, 1 Ag 2.47

First-principles (PBE) data for a relaxed structure of MgGaFeCo, as listed in OQMD via LeMat-Bulk.

Output
- Magnetic moment: 3.9 Bohr magnetons per cell
- Crystal system: cubic
- V: 53.62 Å³/cell
- Excess energy over the best structure of this formula in the dataset: 0 meV per atom

Lattice parameters (Å, degrees): 4.2326 4.2326 4.2326 60.00 60.00 60.00
Last column: nearest neighbours and their distance in Å.
Sites, in units of the cell vectors:
Mg 0.0000 0.0000 0.0000  4 Fe 2.59, 4 Ga 2.59
Ga 0.7500 0.7500 0.7500  4 Co 2.59, 4 Mg 2.59
Fe 0.2500 0.2500 0.2500  4 Co 2.59, 4 Mg 2.59
Co 0.5000 0.5000 0.5000  4 Fe 2.59, 4 Ga 2.59